(1)
# GaIr3F

Crystalline GaIr3F at its relaxed geometry (GGA-PBE, the Alexandria database).

Cell lengths 4.2658, 4.2658, 4.2658 Å; angles 90.00, 90.00, 90.00 degrees
Last column: nearest neighbours and their distance in Å.
Sites, in units of the cell vectors:
Ir1 0.0000 0.5000 0.0000  2 F 2.13
Ir2 0.0000 0.0000 0.5000  2 F 2.13
Ir3 0.5000 0.0000 0.0000  2 F 2.13
Ga1 0.5000 0.5000 0.5000  12 Ir 3.02
F1 0.0000 0.0000 0.0000  6 Ir 2.13

Output
Calculated volume = 77.6 Å³/cell
Excess energy over the best structure of this formula in the dataset = 0.000 eV per atom
Symmetry = No. 221
Formation energy (no corrections) = 1.196 eV per atom
Total energy = -5.10 eV/atom

(2)
# Ca2AlIn2Pd5

Crystalline Ca2AlIn2Pd5 at its relaxed geometry (GGA-PBE, the Alexandria database).

Cell lengths 3.3928, 10.7804, 10.7804 Å; angles 90.00, 90.00, 90.00 degrees
Last column: nearest neighbours and their distance in Å.
Sites, in units of the cell vectors:
Ca1 0.0000 0.6672 0.1672  3 In 3.00-3.29, 6 Pd 3.06-3.31
Ca2 0.0000 0.3328 0.8328  3 In 3.00-3.29, 6 Pd 3.06-3.31
Ca3 0.0000 0.1672 0.3328  3 In 3.00-3.29, 6 Pd 3.06-3.31
Ca4 0.0000 0.8328 0.6672  3 In 3.00-3.29, 6 Pd 3.06-3.31
Al1 0.0000 0.0000 0.0000  8 Pd 2.65
Al2 0.0000 0.5000 0.5000  8 Pd 2.65
In1 0.0000 0.1361 0.6361  6 Pd 2.68-2.75, 1 Ca 3.00
In2 0.0000 0.8639 0.3639  6 Pd 2.68-2.75, 1 Ca 3.00
In3 0.0000 0.6361 0.8639  6 Pd 2.68-2.75, 1 Ca 3.00
In4 0.0000 0.3639 0.1361  6 Pd 2.68-2.75, 1 Ca 3.00
Pd1 0.5000 0.1826 0.0491  2 Al 2.65, 2 In 2.75, 2 Pd 2.88
Pd2 0.5000 0.8174 0.9509  2 Al 2.65, 2 In 2.75, 2 Pd 2.88
Pd3 0.5000 0.0491 0.8174  2 Al 2.65, 2 In 2.75, 2 Pd 2.88
Pd4 0.5000 0.6826 0.4509  2 Al 2.65, 2 In 2.75, 2 Pd 2.88
Pd5 0.5000 0.9509 0.1826  2 Al 2.65, 2 In 2.75, 2 Pd 2.88
Pd6 0.5000 0.3174 0.5491  2 Al 2.65, 2 In 2.75, 2 Pd 2.88
Pd7 0.5000 0.5491 0.6826  2 Al 2.65, 2 In 2.75, 2 Pd 2.88
Pd8 0.5000 0.4509 0.3174  2 Al 2.65, 2 In 2.75, 2 Pd 2.88
Pd9 0.5000 0.5000 0.0000  4 In 2.68
Pd10 0.5000 0.0000 0.5000  4 In 2.68

Output
Calculated volume = 394.3 Å³/cell
Symmetry = No. 127
Calculated formation energy = -0.611 eV per atom
Total energy = -4.53 eV/atom

(3)
# FeTc3Cl

Crystalline FeTc3Cl at its relaxed geometry (GGA-PBE, the Alexandria database).

Cell lengths 4.5099, 4.5099, 4.5099 Å; angles 90.00, 90.00, 90.00 degrees
Last column: nearest neighbours and their distance in Å.
Sites, in units of the cell vectors:
Cl1 0.5000 0.5000 0.5000  12 Tc 3.19
Tc1 0.0000 0.5000 0.0000  2 Fe 2.25
Tc2 0.0000 0.0000 0.5000  2 Fe 2.25
Tc3 0.5000 0.0000 0.0000  2 Fe 2.25
Fe1 0.0000 0.0000 0.0000  6 Tc 2.25

Output
Calculated volume = 91.7 Å³/cell
Excess energy over the best structure of this formula in the dataset = 0.380 eV per atom
Symmetry = No. 221
Formation energy (no corrections) = 1.601 eV per atom
Total energy = -6.68 eV/atom

(4)
# La5TmTh2

Crystalline La5TmTh2 at its relaxed geometry (GGA-PBE, the Alexandria database).

Cell lengths 3.6242, 8.9373, 18.5150 Å; angles 90.00, 110.28, 90.00 degrees
Last column: nearest neighbours and their distance in Å.
Sites, in units of the cell vectors:
La1 0.5000 0.4516 0.5000  4 Th 3.31-3.50, 4 La 3.34-3.62, 2 Tm 3.61
La2 0.0000 0.5484 0.0000  4 Th 3.31-3.50, 4 La 3.34-3.62, 2 Tm 3.61
La3 0.6333 0.1925 0.8020  3 Th 3.41-3.53, 4 La 3.45-3.81
La4 0.8667 0.8075 0.6980  3 Th 3.41-3.53, 4 La 3.45-3.81
La5 0.3667 0.1925 0.1980  3 Th 3.41-3.53, 4 La 3.45-3.81
La6 0.1333 0.8075 0.3020  3 Th 3.41-3.53, 4 La 3.45-3.81
La7 0.3347 0.8550 0.1055  4 La 3.34-3.62, 1 Th 3.51
La8 0.1653 0.1450 0.3945  4 La 3.34-3.62, 1 Th 3.51
La9 0.8347 0.1450 0.6055  4 La 3.34-3.62, 1 Th 3.51
La10 0.6653 0.8550 0.8945  4 La 3.34-3.62, 1 Th 3.51
Tm1 0.5000 0.1993 0.0000  8 La 3.61-3.91, 2 Tm 3.62, 2 Th 4.04
Tm2 0.0000 0.8007 0.5000  8 La 3.61-3.91, 2 Tm 3.62, 2 Th 4.04
Th1 0.1601 0.5171 0.8351  6 La 3.31-3.53, 4 Th 3.45-3.62
Th2 0.3399 0.4829 0.6649  6 La 3.31-3.53, 4 Th 3.45-3.62
Th3 0.6601 0.4829 0.3351  6 La 3.31-3.53, 4 Th 3.45-3.62
Th4 0.8399 0.5171 0.1649  6 La 3.31-3.53, 4 Th 3.45-3.62

Output
Calculated volume = 562.5 Å³/cell
Symmetry = No. 13
Calculated formation energy = 0.127 eV per atom
Total energy = -5.37 eV/atom

(5)
# ScMoBr2

Crystalline ScMoBr2 at its relaxed geometry (GGA-PBE, the Alexandria database).

Cell lengths 6.3214, 6.3214, 6.3214 Å; angles 144.20, 144.20, 51.53 degrees
Last column: nearest neighbours and their distance in Å.
Sites, in units of the cell vectors:
Br1 0.0000 0.0000 0.0000  4 Mo 2.75
Br2 0.2500 0.7500 0.5000  4 Sc 2.75
Mo1 0.5000 0.5000 0.0000  4 Br 2.75
Sc1 0.7500 0.2500 0.5000  4 Br 2.75

Output
Calculated volume = 86.0 Å³/cell
Excess energy over the best structure of this formula in the dataset = 0.660 eV per atom
Symmetry = No. 119
Formation energy (no corrections) = 0.301 eV per atom
Total energy = -4.83 eV/atom

(6)
# Al2TeS6

Crystalline Al2TeS6 at its relaxed geometry (GGA-PBE, the Alexandria database).

Cell lengths 7.1973, 9.0163, 9.0163 Å; angles 72.86, 78.19, 78.19 degrees
Last column: nearest neighbours and their distance in Å.
Sites, in units of the cell vectors:
Al1 0.2787 0.6897 0.7820  4 S 2.22-2.36
Al2 0.2213 0.2180 0.3103  4 S 2.22-2.36
Al3 0.7213 0.3103 0.2180  4 S 2.22-2.36
Al4 0.7787 0.7820 0.6897  4 S 2.22-2.36
Te1 0.2500 0.0858 0.9142  2 S 2.35
Te2 0.7500 0.9142 0.0858  2 S 2.35
S1 0.5318 0.7428 0.5988  2 Al 2.22-2.23
S2 0.9682 0.4012 0.2572  2 Al 2.22-2.23
S3 0.4682 0.2572 0.4012  2 Al 2.22-2.23
S4 0.0318 0.5988 0.7428  2 Al 2.22-2.23
S5 0.8842 0.9789 0.4669  1 S 2.02
S6 0.6158 0.5331 0.0211  1 S 2.02
S7 0.1158 0.0211 0.5331  1 S 2.02
S8 0.3842 0.4669 0.9789  1 S 2.02
S9 0.1770 0.8297 0.9740  1 Al 2.35, 1 Te 2.35
S10 0.3230 0.0260 0.1703  1 Al 2.35, 1 Te 2.35
S11 0.8230 0.1703 0.0260  1 Al 2.35, 1 Te 2.35
S12 0.6770 0.9740 0.8297  1 Al 2.35, 1 Te 2.35

Output
Calculated volume = 540.7 Å³/cell
Symmetry = No. 15
Formation energy (no corrections) = -0.394 eV per atom
Total energy = -4.33 eV/atom

(7)
# MgZnCd2

Crystalline MgZnCd2 at its relaxed geometry (GGA-PBE, the Alexandria database).

Cell lengths 4.3450, 4.3450, 4.3204 Å; angles 90.00, 90.00, 90.00 degrees
Last column: nearest neighbours and their distance in Å.
Sites, in units of the cell vectors:
Zn1 0.0000 0.5000 0.5000  8 Cd 3.06, 4 Mg 3.07
Mg1 0.5000 0.0000 0.5000  8 Cd 3.06, 4 Zn 3.07
Cd1 0.0000 0.0000 0.0000  4 Mg 3.06, 4 Zn 3.06, 4 Cd 3.07
Cd2 0.5000 0.5000 0.0000  4 Mg 3.06, 4 Zn 3.06, 4 Cd 3.07

Output
Calculated volume = 81.6 Å³/cell
Excess energy over the best structure of this formula in the dataset = 0.000 eV per atom
Symmetry = No. 123
Calculated formation energy = -0.021 eV per atom
Total energy = -1.20 eV/atom

(8)
# NaTlN2

Crystalline NaTlN2 at its relaxed geometry (GGA-PBE, the Alexandria database).

Cell lengths 7.2103, 7.2103, 7.2103 Å; angles 29.55, 29.55, 29.55 degrees
Last column: nearest neighbours and their distance in Å.
Sites, in units of the cell vectors:
Na1 0.5000 0.5000 0.5000  6 N 2.56
Tl1 0.0000 0.0000 0.0000  2 N 2.01
N1 0.9025 0.9025 0.9025  1 Tl 2.01
N2 0.0975 0.0975 0.0975  1 Tl 2.01

Output
Calculated volume = 80.7 Å³/cell
Excess energy over the best structure of this formula in the dataset = 1.359 eV per atom
Symmetry = No. 166
Formation energy (no corrections) = 1.378 eV per atom
Total energy = -3.71 eV/atom

(9)
# CsCd2Br6

Crystalline CsCd2Br6 at its relaxed geometry (GGA-PBE, the Alexandria database).

Cell lengths 6.3254, 7.3816, 9.2027 Å; angles 78.76, 69.90, 64.63 degrees
Last column: nearest neighbours and their distance in Å.
Sites, in units of the cell vectors:
Cs1 0.0000 0.5000 0.5000  6 Br 3.52-3.61
Cd1 0.1797 0.7105 0.9301  4 Br 2.67-2.77
Cd2 0.8203 0.2895 0.0699  4 Br 2.67-2.77
Br1 0.7011 0.6603 0.9374  1 Cd 2.67
Br2 0.2989 0.3397 0.0626  1 Cd 2.67
Br3 0.9483 0.9014 0.2020  2 Cd 2.73-2.77
Br4 0.3580 0.6704 0.6137  1 Cd 2.76, 1 Br 3.09
Br5 0.0517 0.0986 0.7980  2 Cd 2.73-2.77
Br6 0.6420 0.3296 0.3863  1 Cd 2.76, 1 Br 3.09

Output
Calculated volume = 364.0 Å³/cell
Symmetry = No. 12
Formation energy (no corrections) = -0.876 eV per atom
Total energy = -2.29 eV/atom

(10)
# LaCrMoAs2

Crystalline LaCrMoAs2 at its relaxed geometry (GGA-PBE, the Alexandria database).

Cell lengths 5.4939, 5.3711, 5.4939 Å; angles 90.00, 90.00, 90.00 degrees
Last column: nearest neighbours and their distance in Å.
Sites, in units of the cell vectors:
Cr1 0.0000 0.5000 0.0000  2 La 2.69
Mo1 0.5000 0.5000 0.5000  8 As 3.84, 4 Cr 3.88
As1 0.0000 0.0000 0.5000  2 La 2.75
As2 0.5000 0.0000 0.0000  2 La 2.75
La1 0.0000 0.0000 0.0000  2 Cr 2.69, 4 As 2.75

Output
Calculated volume = 162.1 Å³/cell
Symmetry = No. 123
Calculated formation energy = 1.666 eV per atom
Total energy = -5.27 eV/atom

(11)
# TaV2Pd

Crystalline TaV2Pd at its relaxed geometry (GGA-PBE, the Alexandria database).

Cell lengths 3.1587, 3.1587, 6.1175 Å; angles 90.00, 90.00, 90.00 degrees
Last column: nearest neighbours and their distance in Å.
Sites, in units of the cell vectors:
V1 0.0000 0.0000 0.7418  4 Ta 2.68, 4 Pd 2.74, 1 V 2.96
V2 0.0000 0.0000 0.2582  4 Ta 2.68, 4 Pd 2.74, 1 V 2.96
Pd1 0.5000 0.5000 0.0000  8 V 2.74, 2 Ta 3.06
Ta1 0.5000 0.5000 0.5000  8 V 2.68

Output
Calculated volume = 61.0 Å³/cell
Excess energy over the best structure of this formula in the dataset = 0.000 eV per atom
Symmetry = No. 123
Calculated formation energy = -0.054 eV per atom
Total energy = -8.87 eV/atom

(12)
# TiNb2PtN

Crystalline TiNb2PtN at its relaxed geometry (GGA-PBE, the Alexandria database).

Cell lengths 4.2526, 4.2526, 4.0873 Å; angles 90.00, 90.00, 90.00 degrees
Last column: nearest neighbours and their distance in Å.
Sites, in units of the cell vectors:
Nb1 0.0000 0.5000 0.0000  2 N 2.13
Nb2 0.5000 0.0000 0.0000  2 N 2.13
N1 0.0000 0.0000 0.0000  2 Ti 2.04, 4 Nb 2.13
Pt1 0.5000 0.5000 0.5000  8 Nb 2.95, 4 Ti 3.01
Ti1 0.0000 0.0000 0.5000  2 N 2.04

Output
Calculated volume = 73.9 Å³/cell
Symmetry = No. 123
Formation energy (no corrections) = -0.863 eV per atom
Total energy = -9.34 eV/atom